# 1
# K3BaPt8

A geometry-optimized K3BaPt8 structure (GGA-PBE, the Alexandria database).

Cell: 5.5865 5.5865 27.2676 Å, 90.00 90.00 120.00°
Closest atoms and distances in Å follow each position.
Space group R3m (No. 160, hexagonal axes)
Inequivalent atoms, fractional coordinates:
K (0.0000, 0.0000, 0.0000) x3  12 Pt 3.25-3.27, 4 K 3.33-3.40
K (0.0000, 0.0000, 0.1223) x3  12 Pt 3.24-3.35, 1 K 3.33, 3 Ba 3.45
K (0.0000, 0.0000, 0.6273) x3  12 Pt 3.20-3.30, 3 K 3.40, 1 Ba 3.46
Ba (0.0000, 0.0000, 0.5004) x3  12 Pt 3.28, 4 K 3.45-3.46
Pt (0.0000, 0.0000, 0.3127) x3  6 Pt 2.77-2.78
Pt (0.0000, 0.0000, 0.8123) x3  6 Pt 2.79-2.81
Pt (0.9997, 0.4998, 0.0621) x9  6 Pt 2.77-2.80
Pt (0.9998, 0.4999, 0.5631) x9  6 Pt 2.78-2.81

Properties
The value obtained for the formation energy is -0.37 eV/atom.



# 2
# HoTmMgCr

A geometry-optimized HoTmMgCr structure (GGA-PBE, the Alexandria database).

Cell: 7.2737 7.2737 7.2737 Å, 90.00 90.00 90.00°
Closest atoms and distances in Å follow each position.
Space group F-43m (No. 216)
Inequivalent atoms, fractional coordinates:
Ho (0.0000, 0.0000, 0.0000) x4  4 Mg 3.15, 4 Cr 3.15
Tm (0.0000, 0.0000, 0.5000) x4  4 Cr 3.15, 4 Mg 3.15
Mg (0.2500, 0.2500, 0.7500) x4  4 Ho 3.15, 4 Tm 3.15
Cr (0.2500, 0.2500, 0.2500) x4  4 Ho 3.15, 4 Tm 3.15

Properties
The value obtained for the formation energy is 0.14 eV/atom.



# 3
# Y2ZrMo

A geometry-optimized Y2ZrMo structure (GGA-PBE, the Alexandria database).

Cell: 7.2283 7.2283 7.2283 Å, 90.00 90.00 90.00°
Closest atoms and distances in Å follow each position.
Space group F-43m (No. 216)
Inequivalent atoms, fractional coordinates:
Y (0.0000, 0.0000, 0.0000) x4  4 Zr 3.13, 4 Y 3.13
Y (0.2500, 0.2500, 0.2500) x4  4 Mo 3.13, 4 Y 3.13
Zr (0.2500, 0.2500, 0.7500) x4  4 Mo 3.13, 4 Y 3.13
Mo (0.0000, 0.0000, 0.5000) x4  4 Zr 3.13, 4 Y 3.13

Properties
The value obtained for the formation energy is 0.34 eV/atom.



# 4
# SmTm2Th

A geometry-optimized SmTm2Th structure (GGA-PBE, the Alexandria database).

Cell: 3.5591 3.5591 34.3191 Å, 90.00 90.00 120.00°
Closest atoms and distances in Å follow each position.
Space group R-3m (No. 166, hexagonal axes)
Inequivalent atoms, fractional coordinates:
Sm (0.0000, 0.0000, 0.0000) x3  6 Sm 3.56, 6 Tm 3.57
Tm (0.0000, 0.0000, 0.2482) x6  3 Th 3.47, 6 Tm 3.56, 3 Sm 3.57
Th (0.0000, 0.0000, 0.5000) x3  6 Tm 3.47, 6 Th 3.56

Properties
The value obtained for the formation energy is 0.02 eV/atom.



# 5
# PIrPb2

A geometry-optimized PIrPb2 structure (GGA-PBE, the Alexandria database).

Cell: 7.1147 4.0912 7.3071 Å, 90.00 108.71 90.00°
Closest atoms and distances in Å follow each position.
Space group Cm (No. 8)
Inequivalent atoms, fractional coordinates:
P (0.0000, 0.0000, 0.0000) x2  3 Ir 2.37
Ir (0.1673, 0.5000, 0.0004) x2  3 P 2.37
Pb (0.2429, 0.0000, 0.7244) x2  3 P 3.04-3.05, 3 Ir 3.04-3.05
Pb (0.4247, 0.0000, 0.2763) x2  3 Ir 3.04-3.05, 3 P 3.04-3.05

Properties
The value obtained for the formation energy is -0.15 eV/atom.



# 6
# Ba5PmO6

A geometry-optimized Ba5PmO6 structure (GGA-PBE, the Alexandria database).

Cell: 6.7309 11.6749 6.7054 Å, 90.00 109.40 90.00°
Closest atoms and distances in Å follow each position.
Space group C2/m (No. 12)
Inequivalent atoms, fractional coordinates:
Ba (0.0000, 0.0000, 0.0000) x2  6 O 2.75-3.01
Ba (0.0000, 0.1673, 0.5000) x4  6 O 2.77-2.80
Ba (0.0000, 0.3346, 0.0000) x4  4 O 2.72-2.75
Pm (0.0000, 0.5000, 0.5000) x2  6 O 2.45-2.47
O (0.2197, 0.5000, 0.2685) x4  1 Pm 2.47, 2 Ba 2.72
O (0.2236, 0.3521, 0.7255) x8  1 Pm 2.45, 1 Ba 2.75

Properties
As for the raw formation energy: -2.5464 eV/atom.